(1)
# ScCdB (GGA-PBE, relaxed)
# **Crystal system**: triclinic
# **Formation energy**: -0.0567 eV per atom
# **VASP energy**: -4.70 eV per atom
# **Volume**: 104.3 Å³ per cell
# **Density of states at the Fermi level**: 4.2 states/eV per cell
# **Energy relative to the lowest polymorph listed for this composition**: 0.433 eV/atom
# **Calculated density**: 5357 kg/m³
data_ScCdB
_symmetry_space_group_name_H-M 'P 1'
_symmetry_Int_Tables_number 1
_cell_length_a 3.3990
_cell_length_b 5.2621
_cell_length_c 6.0704
_cell_angle_alpha 89.83
_cell_angle_beta 73.80
_cell_angle_gamma 90.00
loop_
_symmetry_equiv_pos_as_xyz
'x,y,z'
loop_
_atom_site_label
_atom_site_type_symbol
_atom_site_fract_x
_atom_site_fract_y
_atom_site_fract_z
Sc1 Sc 0.0000 0.0000 0.0000
Sc2 Sc 0.1749 0.5013 0.6483
Cd1 Cd 0.2850 0.0018 0.4312
Cd2 Cd 0.4501 0.4998 0.1004
B1 B 0.6297 0.1594 0.7405
B2 B 0.6299 0.8430 0.7401


(2)
# TbCdHg4 (GGA-PBE, relaxed)
# **Crystal system**: monoclinic
# **Formation energy**: -0.1491 eV per atom
# **VASP energy**: -1.27 eV per atom
# **Volume**: 615.9 Å³ per cell
# **Density of states at the Fermi level**: 9.4 states/eV per cell
# **Energy relative to the lowest polymorph listed for this composition**: 0.000 eV/atom
# **Calculated density**: 11579 kg/m³
data_TbCdHg4
_symmetry_space_group_name_H-M 'C 1 2/m 1'
_symmetry_Int_Tables_number 12
_cell_length_a 14.2898
_cell_length_b 8.6194
_cell_length_c 5.1305
_cell_angle_alpha 90.00
_cell_angle_beta 102.92
_cell_angle_gamma 90.00
loop_
_symmetry_equiv_pos_as_xyz
'x,y,z'
'-x,-y,-z'
'-x,y,-z'
'x,-y,z'
'x+1/2,y+1/2,z'
'-x+1/2,-y+1/2,-z'
'-x+1/2,y+1/2,-z'
'x+1/2,-y+1/2,z'
loop_
_atom_site_label
_atom_site_type_symbol
_atom_site_fract_x
_atom_site_fract_y
_atom_site_fract_z
Tb1 Tb 0.1985 0.0000 0.1231
Cd1 Cd 0.0594 0.5000 0.7649
Hg1 Hg 0.0000 0.1856 0.0000
Hg2 Hg 0.1326 0.1940 0.5883
Hg3 Hg 0.1672 0.5000 0.2965


(3)
# Bi2Pd3Au (GGA-PBE, relaxed)
# **Crystal system**: orthorhombic
# **Formation energy**: -0.2161 eV per atom
# **VASP energy**: -4.65 eV per atom
# **Volume**: 973.1 Å³ per cell
# **Density of states at the Fermi level**: 20.9 states/eV per cell
# **Energy relative to the lowest polymorph listed for this composition**: 0.000 eV/atom
# **Calculated density**: 12753 kg/m³
data_Bi2Pd3Au
_symmetry_space_group_name_H-M 'C m c e'
_symmetry_Int_Tables_number 64
_symmetry_space_group_name_Hall '-C 2ac 2'
_cell_length_a 5.4229
_cell_length_b 13.5576
_cell_length_c 13.2361
_cell_angle_alpha 90.00
_cell_angle_beta 90.00
_cell_angle_gamma 90.00
loop_
_atom_site_label
_atom_site_type_symbol
_atom_site_fract_x
_atom_site_fract_y
_atom_site_fract_z
Bi1 Bi 0.0000 0.0785 0.1654
Bi2 Bi 0.0000 0.1716 0.5719
Pd1 Pd 0.0000 0.0429 0.4034
Pd2 Pd 0.0000 0.0969 0.9550
Pd3 Pd 0.2500 0.0910 0.7500
Au1 Au 0.0000 0.2371 0.3249


(4)
# CsTmCdS3 (GGA-PBE, relaxed)
# **Crystal system**: monoclinic
# **VASP energy**: -4.51 eV per atom
# **Volume**: 362.7 Å³ per cell
# **Density of states at the Fermi level**: 0.0 states/eV per cell
# **E_form (uncorrected)**: -1.4091 eV/atom
# **Calculated density**: 4674 kg/m³
data_CsTmCdS3
_symmetry_space_group_name_H-M 'P 1 21/m 1'
_symmetry_Int_Tables_number 11
_cell_length_a 9.1808
_cell_length_b 4.1273
_cell_length_c 10.2728
_cell_angle_alpha 90.00
_cell_angle_beta 111.30
_cell_angle_gamma 90.00
loop_
_symmetry_equiv_pos_as_xyz
'x,y,z'
'-x,-y,-z'
'-x,y+1/2,-z'
'x,-y+1/2,z'
loop_
_atom_site_label
_atom_site_type_symbol
_atom_site_fract_x
_atom_site_fract_y
_atom_site_fract_z
Cs1 Cs 0.2249 0.2500 0.2416
Tm1 Tm 0.3338 0.7500 0.8698
Cd1 Cd 0.0845 0.2500 0.6162
S1 S 0.1315 0.2500 0.8706
S2 S 0.2160 0.7500 0.5571
S3 S 0.4781 0.7500 0.1430


(5)
# KLiGeO3 (GGA-PBE, relaxed)
# **Crystal system**: orthorhombic
# **VASP energy**: -5.57 eV per atom
# **Volume**: 303.2 Å³ per cell
# **Density of states at the Fermi level**: 0.0 states/eV per cell
# **E_form (uncorrected)**: -1.8226 eV/atom
# **Calculated density**: 3652 kg/m³
data_KLiGeO3
_symmetry_space_group_name_H-M 'C m c m'
_symmetry_Int_Tables_number 63
_symmetry_space_group_name_Hall '-C 2c 2'
_cell_length_a 5.5221
_cell_length_b 10.3028
_cell_length_c 5.3286
_cell_angle_alpha 90.00
_cell_angle_beta 90.00
_cell_angle_gamma 90.00
loop_
_atom_site_label
_atom_site_type_symbol
_atom_site_fract_x
_atom_site_fract_y
_atom_site_fract_z
K1 K 0.0000 0.2317 0.2500
Li1 Li 0.0000 0.0801 0.7500
Ge1 Ge 0.0000 0.4428 0.7500
O1 O 0.0000 0.2729 0.7500
O2 O 0.2262 0.5000 0.0000


(6)
# AgGeS3 (GGA-PBE, relaxed)
# **Crystal system**: hexagonal
# **VASP energy**: -3.93 eV per atom
# **Volume**: 206.8 Å³ per cell
# **Density of states at the Fermi level**: 9.3 states/eV per cell
# **E_form (uncorrected)**: 0.0412 eV/atom
# **Energy relative to the lowest polymorph listed for this composition**: 0.000 eV/atom
# **Calculated density**: 4444 kg/m³
data_AgGeS3
_symmetry_space_group_name_H-M 'P 63 2 2'
_symmetry_Int_Tables_number 182
_symmetry_space_group_name_Hall 'P 6c 2c'
_cell_length_a 6.2797
_cell_length_b 6.2797
_cell_length_c 6.0552
_cell_angle_alpha 90.00
_cell_angle_beta 90.00
_cell_angle_gamma 120.00
loop_
_atom_site_label
_atom_site_type_symbol
_atom_site_fract_x
_atom_site_fract_y
_atom_site_fract_z
Ag1 Ag 0.3333 0.6667 0.2500
Ge1 Ge 0.0000 0.0000 0.2500
S1 S 0.0000 0.3011 0.5000